Record 1
# YTi3Ga

A PBEsol-optimized structure of YTi3Ga (SCAN, the Alexandria database).

Geometry as POSCAR:
```
YTi3Ga
1.0
4.690 0.000 0.000
0.000 4.690 0.000
0.000 0.000 4.690
Y Ti Ga
1 3 1
Cartesian
0.000 0.000 0.000
0.000 0.000 2.345
0.000 2.345 0.000
2.345 0.000 0.000
2.345 2.345 2.345
```

Output
Energy relative to the elements   1.50 eV/atom

---

Record 2
# Zr3Ti2Ga3

A PBEsol-optimized structure of Zr3Ti2Ga3 (SCAN, the Alexandria database).

Geometry as POSCAR:
```
Zr3Ti2Ga3
1.0
7.873 0.000 0.000
-3.937 6.818 0.000
0.000 0.000 5.357
Zr Ti Ga
6 4 6
Cartesian
-0.956 1.655 1.339
-2.981 5.163 4.018
1.911 0.000 1.339
0.956 1.655 4.018
5.962 0.000 4.018
2.981 5.163 1.339
0.000 4.546 0.000
0.000 4.546 2.678
3.937 2.273 0.000
3.937 2.273 2.678
-1.583 2.741 4.018
-2.354 4.077 1.339
3.165 0.000 4.018
1.583 2.741 1.339
4.708 0.000 1.339
2.354 4.077 4.018
```

Output
Energy relative to the elements   -0.61 eV/atom

---

Record 3
# Tl3Ga

A PBEsol-optimized structure of Tl3Ga (SCAN, the Alexandria database).

Geometry as POSCAR:
```
Tl3Ga
1.0
0.000 3.731 3.731
3.731 0.000 3.731
3.731 3.731 0.000
Tl Ga
3 1
Cartesian
0.000 0.000 0.000
1.865 1.865 1.865
5.596 5.596 5.596
3.731 3.731 3.731
```

Output
Energy relative to the elements   0.13 eV/atom

---

Record 4
# Y2TlGa2

A PBEsol-optimized structure of Y2TlGa2 (SCAN, the Alexandria database).

Geometry as POSCAR:
```
Y2TlGa2
1.0
7.205 0.000 0.000
0.000 7.205 0.000
0.000 0.000 4.323
Y Tl Ga
4 2 4
Cartesian
1.244 2.358 0.000
2.358 5.961 0.000
4.847 1.244 0.000
5.961 4.847 0.000
0.000 0.000 2.161
3.603 3.603 2.161
0.890 4.492 2.161
2.713 0.890 2.161
4.492 6.315 2.161
6.315 2.713 2.161
```

Output
Energy relative to the elements   -0.70 eV/atom

---

Record 5
# ZrTlGa3

A PBEsol-optimized structure of ZrTlGa3 (SCAN, the Alexandria database).

Geometry as POSCAR:
```
ZrTlGa3
1.0
5.207 0.000 0.000
0.000 5.207 0.000
0.000 0.000 5.207
Zr Tl Ga
1 1 3
Cartesian
0.000 0.000 0.000
2.604 2.604 2.604
0.000 0.000 2.604
0.000 2.604 0.000
2.604 0.000 0.000
```

Output
Energy relative to the elements   0.44 eV/atom

---

Record 6
# TmGa2

A PBEsol-optimized structure of TmGa2 (SCAN, the Alexandria database).

Geometry as POSCAR:
```
TmGa2
1.0
-2.075 3.394 4.013
2.075 -3.394 4.013
2.075 3.394 -4.013
Tm Ga
2 4
Cartesian
0.000 1.697 0.484
2.075 1.697 3.529
2.075 -0.346 1.285
2.075 3.047 -1.285
0.000 0.346 5.298
0.000 3.740 2.728
```

Output
Energy relative to the elements   -0.71 eV/atom

---

Record 7
# TmGa

A PBEsol-optimized structure of TmGa (SCAN, the Alexandria database).

Geometry as POSCAR:
```
TmGa
1.0
2.107 -5.291 0.000
2.107 5.291 0.000
0.000 0.000 3.949
Tm Ga
2 2
Cartesian
2.107 3.808 2.962
2.107 -3.808 0.987
2.107 0.821 2.962
2.107 -0.821 0.987
```

Output
Energy relative to the elements   -0.72 eV/atom

---

Record 8
# TmGa3

A PBEsol-optimized structure of TmGa3 (SCAN, the Alexandria database).

Geometry as POSCAR:
```
TmGa3
1.0
6.091 0.000 0.000
-3.045 5.275 0.000
0.000 0.000 4.478
Tm Ga
2 6
Cartesian
0.000 3.516 1.120
3.045 1.758 3.359
0.000 1.586 3.359
-1.672 4.482 3.359
1.373 0.793 1.120
1.672 4.482 3.359
4.717 0.793 1.120
3.045 3.689 1.120
```

Output
Energy relative to the elements   -0.59 eV/atom

---

Record 9
# TmGa3

A PBEsol-optimized structure of TmGa3 (SCAN, the Alexandria database).

Geometry as POSCAR:
```
TmGa3
1.0
4.160 0.000 0.000
0.000 4.160 0.000
0.000 0.000 4.160
Tm Ga
1 3
Cartesian
0.000 0.000 0.000
0.000 2.080 2.080
2.080 0.000 2.080
2.080 2.080 0.000
```

Output
Energy relative to the elements   -0.59 eV/atom

---

Record 10
# Tm2ZnGa

A PBEsol-optimized structure of Tm2ZnGa (SCAN, the Alexandria database).

Geometry as POSCAR:
```
Tm2ZnGa
1.0
0.000 3.459 3.459
3.459 0.000 3.459
3.459 3.459 0.000
Tm Zn Ga
2 1 1
Cartesian
1.729 1.729 1.729
5.188 5.188 5.188
0.000 0.000 0.000
3.459 3.459 3.459
```

Output
Energy relative to the elements   -0.57 eV/atom

---

Record 11
# UGa3

A PBEsol-optimized structure of UGa3 (SCAN, the Alexandria database).

Geometry as POSCAR:
```
UGa3
1.0
4.186 0.000 0.000
0.000 4.186 0.000
0.000 0.000 4.186
U Ga
1 3
Cartesian
0.000 0.000 0.000
0.000 2.093 2.093
2.093 0.000 2.093
2.093 2.093 0.000
```

Output
Energy relative to the elements   -0.17 eV/atom

---

Record 12
# UGa

A PBEsol-optimized structure of UGa (SCAN, the Alexandria database).

Geometry as POSCAR:
```
UGa
1.0
4.794 -3.184 0.000
4.794 3.184 0.000
0.000 0.000 4.846
U Ga
4 4
Cartesian
2.120 1.115 1.211
2.120 -1.115 3.634
7.468 1.115 1.211
7.468 -1.115 3.634
4.794 2.338 1.211
4.794 0.000 0.000
4.794 0.000 2.423
4.794 -2.338 3.634
```

Output
Energy relative to the elements   -0.11 eV/atom

---

no.,total moment (μB per formula unit),N(E_F) (states/eV/cell),energy (eV/atom)
1,1.825,6.49,-16.96
2,0.005,20.96,-22.26
3,0.000,2.11,-58.23
4,0.000,5.44,-32.85
5,0.000,3.86,-29.98
6,0.000,2.77,-28.89
7,0.160,2.53,-34.81
8,0.000,1.75,-25.81
9,0.000,1.73,-25.81
10,0.000,2.45,-33.95
11,2.245,5.27,-38.31
12,1.835,12.03,-60.05